<P>
Computed, not measured: Sm2Ho2Zn after structural relaxation at the GGA-PBE level of DFT.

Cell and atoms, written as POSCAR:
```
Sm2Ho2Zn
1.0
-2.490 2.490 12.339
2.490 -2.490 12.339
2.490 2.490 -12.339
Sm Ho Zn
4 4 2
Cartesian
2.490 1.245 -4.758
0.000 1.245 1.412
2.490 1.245 10.927
0.000 1.245 17.096
2.490 1.245 -1.238
0.000 1.245 4.932
2.490 1.245 7.407
0.000 1.245 13.577
2.490 1.245 3.085
0.000 1.245 9.254
```

## Properties
symmetry = I4_1/amd (141)

<Q>
Computed, not measured: Sm2Ho2Zn after structural relaxation at the GGA-PBE level of DFT.

Cell and atoms, written as POSCAR:
```
Sm2Ho2Zn
1.0
-1.785 1.785 11.269
1.785 -1.785 11.269
1.785 1.785 -11.269
Sm Ho Zn
2 2 1
Cartesian
0.000 0.000 4.339
0.000 0.000 18.199
0.000 0.000 9.522
0.000 0.000 13.016
0.000 0.000 0.000
```

## Properties
symmetry = I4/mmm (139)

Winner for stability: <Q>

<P>
Computed, not measured: Sm4HoZn after structural relaxation at the GGA-PBE level of DFT.

Cell and atoms, written as POSCAR:
```
Sm4HoZn
1.0
3.618 0.000 0.000
0.000 3.618 0.000
0.000 0.000 13.833
Sm Ho Zn
4 1 1
Cartesian
0.000 0.000 1.821
0.000 0.000 12.012
1.809 1.809 4.417
1.809 1.809 9.416
0.000 0.000 6.917
1.809 1.809 0.000
```

## Properties
symmetry = P4/mmm (123)

<Q>
Computed, not measured: Sm4HoZn after structural relaxation at the GGA-PBE level of DFT.

Cell and atoms, written as POSCAR:
```
Sm4HoZn
1.0
4.462 -6.843 0.000
4.462 6.843 0.000
-2.025 0.000 5.988
Sm Ho Zn
8 2 2
Cartesian
1.616 4.337 5.691
1.218 1.538 3.740
4.270 4.337 3.292
2.231 -1.538 0.746
4.668 1.538 5.242
2.628 -4.337 2.696
5.680 -1.538 2.248
5.282 -4.337 0.298
3.955 1.279 1.497
2.943 -1.279 4.491
3.955 6.839 1.497
2.943 -6.839 4.491
```

## Properties
symmetry = C2/c (15)

Winner for stability: <P>

<P>
Computed, not measured: SmHo6Zn2 after structural relaxation at the GGA-PBE level of DFT.

Cell and atoms, written as POSCAR:
```
SmHo6Zn2
1.0
-2.389 2.389 12.626
2.389 -2.389 12.626
2.389 2.389 -12.626
Sm Ho Zn
1 6 2
Cartesian
0.000 0.000 0.000
2.389 0.000 2.763
2.389 0.000 6.313
2.389 0.000 9.864
0.000 2.389 2.763
0.000 2.389 6.313
0.000 2.389 9.864
0.000 0.000 8.114
0.000 0.000 17.139
```

## Properties
symmetry = I4/mmm (139)

<Q>
Computed, not measured: SmHo6Zn2 after structural relaxation at the GGA-PBE level of DFT.

Cell and atoms, written as POSCAR:
```
SmHo6Zn2
1.0
6.203 -1.807 0.000
6.203 1.807 0.000
-3.779 0.000 11.082
Sm Ho Zn
1 6 2
Cartesian
0.000 0.000 0.000
-0.981 0.000 3.686
3.365 0.000 1.393
2.325 0.000 4.568
6.302 0.000 6.514
5.262 0.000 9.689
9.608 0.000 7.395
1.351 0.000 8.751
7.276 0.000 2.331
```

## Properties
symmetry = C2/m (12)

Winner for stability: <Q>

<P>
Computed, not measured: SmHo4Zn after structural relaxation at the GGA-PBE level of DFT.

Cell and atoms, written as POSCAR:
```
SmHo4Zn
1.0
4.405 -6.775 0.000
4.405 6.775 0.000
-2.007 0.000 5.843
Sm Ho Zn
2 8 2
Cartesian
2.900 5.441 4.382
3.904 -5.441 1.461
0.233 1.491 5.091
2.586 2.459 2.624
1.236 -1.491 2.169
5.221 2.459 0.297
1.583 -2.459 5.545
5.568 1.491 3.673
4.218 -2.459 3.219
6.571 -1.491 0.752
3.904 0.004 1.461
2.900 -0.004 4.382
```

## Properties
symmetry = C2/c (15)

<Q>
Computed, not measured: SmHo4Zn after structural relaxation at the GGA-PBE level of DFT.

Cell and atoms, written as POSCAR:
```
SmHo4Zn
1.0
3.550 0.000 0.000
0.000 3.550 0.000
0.000 0.000 13.658
Sm Ho Zn
1 4 1
Cartesian
0.000 0.000 0.000
0.000 0.000 5.069
0.000 0.000 8.589
1.775 1.775 2.537
1.775 1.775 11.122
1.775 1.775 6.829
```

## Properties
symmetry = P4/mmm (123)

Winner for stability: <Q>